Entry 1:
## K3Dy2YO6 (PBE-GGA)

Data for a relaxed K3Dy2YO6 crystal.

a = 6.0393 Å, b = 6.0393 Å, c = 6.5773 Å
α = 98.80°, β = 98.80°, γ = 120.00°
Atoms (fractional coordinates):
1 K 0.8332 0.1668 0.5000
2 K 0.5000 0.5000 0.5000
3 K 0.1668 0.8332 0.5000
4 O 0.0619 0.3959 0.1856
5 O 0.6041 0.9381 0.8144
6 O 0.2721 0.2721 0.8144
7 O 0.3959 0.0619 0.1856
8 O 0.9381 0.6041 0.8144
9 O 0.7279 0.7279 0.1856
10 Y 0.0000 0.0000 0.0000
11 Dy 0.3333 0.6667 0.0000
12 Dy 0.6667 0.3333 0.0000

Results
- SG = C2/m (12)
- density of states at the Fermi level (states/eV/f.u.) = 0.00
- uncorrected formation energy (meV per atom) = -2760


Entry 2:
## NaZrOF2 (PBE-GGA)

Data for a relaxed NaZrOF2 crystal.

a = 3.7589 Å, b = 3.7589 Å, c = 4.3199 Å
α = 90.00°, β = 90.00°, γ = 90.00°
Atoms (fractional coordinates):
1 O 0.0000 0.0000 0.5000
2 Zr 0.5000 0.5000 0.5000
3 Na 0.0000 0.0000 0.0000
4 F 0.0000 0.5000 0.0000
5 F 0.5000 0.0000 0.0000

Results
- SG = P4/mmm (123)
- distance to the lowest polymorph of the same formula (meV/atom) = 950
- density of states at the Fermi level (states/eV/f.u.) = 3.22
- uncorrected formation energy (meV per atom) = -1744


Entry 3:
## KPdIBr2 (PBE-GGA)

Data for a relaxed KPdIBr2 crystal.

a = 5.2850 Å, b = 5.2850 Å, c = 5.5650 Å
α = 90.00°, β = 90.00°, γ = 90.00°
Atoms (fractional coordinates):
1 K 0.5000 0.5000 0.5000
2 I 0.0000 0.0000 0.5000
3 Pd 0.0000 0.0000 0.0000
4 Br 0.5000 0.0000 0.0000
5 Br 0.0000 0.5000 0.0000

Results
- SG = P4/mmm (123)
- density of states at the Fermi level (states/eV/f.u.) = 2.37
- uncorrected formation energy (meV per atom) = -785


Entry 4:
## Pr2AsP (PBE-GGA)

Data for a relaxed Pr2AsP crystal.

a = 4.1998 Å, b = 4.1998 Å, c = 7.6768 Å
α = 74.13°, β = 74.13°, γ = 60.00°
Atoms (fractional coordinates):
1 Pr 0.2505 0.2505 0.2484
2 Pr 0.0829 0.0829 0.7512
3 P 0.4990 0.4990 0.5029
4 As 0.6675 0.6675 0.9974

Results
- SG = R3m (160)
- distance to the lowest polymorph of the same formula (meV/atom) = 173
- density of states at the Fermi level (states/eV/f.u.) = 0.30
- energy of formation (eV/atom) = -1.333